Entry 1:
CrMo2HRh | PBE | optimized geometry

Cell lengths 3.9479, 3.9479, 3.9001 Å; angles 90.00, 90.00, 90.00 degrees
Site moments in Bohr magnetons follow the coordinates.
Positions (direct):
Cr1 0.5000 0.5000 0.5000  1.60
Mo1 0.0000 0.5000 0.0000  -0.22
Mo2 0.5000 0.0000 0.0000  -0.22
Rh1 0.0000 0.0000 0.5000  0.01
H1 0.0000 0.0000 0.0000  0.00

Properties
**Space-group type**: P4/mmm (123)
**Size of the total moment**: 1.27 μB/cell
**Polymorph energy (0 for the lowest one)**: 41 meV per atom

---

Entry 2:
CrMo2HRh | PBE | optimized geometry

Cell lengths 3.9503, 3.9503, 3.8319 Å; angles 90.00, 90.00, 90.00 degrees
Positions (direct):
Cr1 0.0000 0.0000 0.5000
Mo1 0.0000 0.5000 0.0000
Mo2 0.5000 0.0000 0.0000
Rh1 0.5000 0.5000 0.5000
H1 0.0000 0.0000 0.0000

Properties
**Space-group type**: P4/mmm (123)
**Size of the total moment**: 0.00 μB/cell
**Polymorph energy (0 for the lowest one)**: 0 meV per atom

---

Entry 3:
Cr2MoHRu | PBE | optimized geometry

Cell lengths 3.7895, 3.7895, 3.8778 Å; angles 90.00, 90.00, 90.00 degrees
Positions (direct):
Ru1 0.5000 0.5000 0.5000
Mo1 0.0000 0.0000 0.5000
H1 0.0000 0.0000 0.0000
Cr1 0.0000 0.5000 0.0000
Cr2 0.5000 0.0000 0.0000

Properties
**Space-group type**: P4/mmm (123)
**Size of the total moment**: 0.00 μB/cell
**Polymorph energy (0 for the lowest one)**: 3 meV per atom

---

Entry 4:
Cr2MoHRu | PBE | optimized geometry

Cell lengths 3.8299, 3.8299, 3.7907 Å; angles 90.00, 90.00, 90.00 degrees
Positions (direct):
Ru1 0.0000 0.0000 0.5000
Mo1 0.5000 0.5000 0.5000
H1 0.0000 0.0000 0.0000
Cr1 0.0000 0.5000 0.0000
Cr2 0.5000 0.0000 0.0000

Properties
**Space-group type**: P4/mmm (123)
**Size of the total moment**: 0.00 μB/cell
**Polymorph energy (0 for the lowest one)**: 0 meV per atom

---

Copy entry 3 word for word.
Cr2MoHRu | PBE | optimized geometry

Cell lengths 3.7895, 3.7895, 3.8778 Å; angles 90.00, 90.00, 90.00 degrees
Positions (direct):
Ru1 0.5000 0.5000 0.5000
Mo1 0.0000 0.0000 0.5000
H1 0.0000 0.0000 0.0000
Cr1 0.0000 0.5000 0.0000
Cr2 0.5000 0.0000 0.0000

Properties
**Space-group type**: P4/mmm (123)
**Size of the total moment**: 0.00 μB/cell
**Polymorph energy (0 for the lowest one)**: 3 meV per atom

---

Number 2 is which compound? CrMo2HRh